# PmHfZrO6

PmHfZrO6 after structural relaxation (PBE, the Alexandria database).

Cell lengths 5.5643, 5.5643, 9.8280 Å; angles 90.00, 90.00, 120.00 degrees
Last column: nearest neighbours and their distance in Å.
Fractional positions:
Pm  0.0000  0.0000  0.0000  6 O 2.39
Pm  0.0000  0.0000  0.5000  6 O 2.39
Hf  0.6667  0.3333  0.2500  6 O 2.09
Hf  0.3333  0.6667  0.7500  6 O 2.09
Zr  0.3333  0.6667  0.2500  6 O 2.13
Zr  0.6667  0.3333  0.7500  6 O 2.13
O  0.6480  0.6434  0.1381  1 Hf 2.09, 1 Zr 2.13
O  0.9954  0.3520  0.1381  1 Hf 2.09, 1 Zr 2.13
O  0.3520  0.9954  0.6381  1 Hf 2.09, 1 Zr 2.13
O  0.0046  0.6480  0.8619  1 Hf 2.09, 1 Zr 2.13
O  0.3566  0.3520  0.3619  1 Hf 2.09, 1 Zr 2.13
O  0.9954  0.6434  0.3619  1 Hf 2.09, 1 Zr 2.13
O  0.6434  0.9954  0.8619  1 Hf 2.09, 1 Zr 2.13
O  0.6480  0.0046  0.3619  1 Hf 2.09, 1 Zr 2.13
O  0.0046  0.3566  0.6381  1 Hf 2.09, 1 Zr 2.13
O  0.3566  0.0046  0.1381  1 Hf 2.09, 1 Zr 2.13
O  0.6434  0.6480  0.6381  1 Hf 2.09, 1 Zr 2.13
O  0.3520  0.3566  0.8619  1 Hf 2.09, 1 Zr 2.13

Computed properties:
For the total magnetic moment, the calculation gives 2.11 Bohr magnetons per cell. The total energy comes out at -8.9872 eV/atom. For the density of states at the Fermi level, the calculation gives 11.6 states/eV per cell. As for the space group: P-31c.